Material: NbIn2FeAu
Method: DFT, GGA-PBE
State: relaxed

Relative energy among the computed polymorphs ... 0.0 meV/atom
V ... 107.9 Å³/cell
Formation enthalpy at 0 K ... 0.41 eV/atom

abc: 4.900 4.900 4.493
angles: 90.00 90.00 90.00
Sites, in units of the cell vectors:
Nb1 0.000 0.000 0.000
In1 0.000 0.500 0.500
In2 0.500 0.000 0.500
Fe1 0.000 0.000 0.500
Au1 0.500 0.500 0.000

Material: KAcMgSn
Method: DFT, GGA-PBE
State: relaxed

V ... 139.3 Å³/cell
Formation enthalpy at 0 K ... -0.15 eV/atom

abc: 5.818 5.818 5.818
angles: 60.00 60.00 60.00
Sites, in units of the cell vectors:
K1 0.000 0.000 0.000
Ac1 0.500 0.500 0.500
Mg1 0.250 0.250 0.250
Sn1 0.750 0.750 0.750

Material: SiMoIr
Method: DFT, GGA-PBE
State: relaxed

Relative energy among the computed polymorphs ... 118.1 meV/atom
Raw formation energy ... -409 meV per atom
V ... 42.9 Å³/cell

abc: 4.215 4.215 2.791
angles: 90.00 90.00 120.00
Sites, in units of the cell vectors:
Si1 0.000 0.000 0.000
Mo1 0.333 0.667 0.500
Ir1 0.667 0.333 0.000

Material: MnCd4Hg
Method: DFT, GGA-PBE
State: relaxed

V ... 135.7 Å³/cell
Formation enthalpy at 0 K ... 0.31 eV/atom

abc: 5.768 5.768 5.768
angles: 60.00 60.00 60.00
Sites, in units of the cell vectors:
Mn1 0.000 0.000 0.000
Cd1 0.124 0.625 0.625
Cd2 0.625 0.124 0.625
Cd3 0.625 0.625 0.124
Cd4 0.625 0.625 0.625
Hg1 0.250 0.250 0.250

Material: V6H2N
Method: DFT, GGA-PBE
State: relaxed

Relative energy among the computed polymorphs ... 0.0 meV/atom
V ... 181.6 Å³/cell

abc: 4.945 4.543 9.042
angles: 90.00 116.61 90.00
Sites, in units of the cell vectors:
V1 0.003 0.196 0.147
V2 0.003 0.304 0.647
V3 0.324 0.247 0.972
V4 0.324 0.253 0.472
V5 0.325 0.704 0.197
V6 0.325 0.796 0.697
V7 0.675 0.204 0.303
V8 0.675 0.296 0.803
V9 0.676 0.747 0.528
V10 0.676 0.753 0.028
V11 0.997 0.696 0.353
V12 0.997 0.804 0.853
H1 0.366 0.501 0.832
H2 0.366 0.999 0.332
H3 0.634 0.001 0.668
H4 0.634 0.499 0.168
N1 0.000 0.000 0.500
N2 0.000 0.500 0.000

Material: NaCaBr2
Method: DFT, GGA-PBE
State: relaxed

Relative energy among the computed polymorphs ... 252.5 meV/atom
Raw formation energy ... -1190 meV per atom
V ... 109.6 Å³/cell

abc: 5.372 5.372 5.372
angles: 60.00 60.00 60.00
Sites, in units of the cell vectors:
Na1 0.000 0.000 0.000
Ca1 0.500 0.500 0.500
Br1 0.250 0.250 0.250
Br2 0.750 0.750 0.750